# 1
# SmY6Zr, relaxed, DFT PBE
data_SmY6Zr
_symmetry_space_group_name_H-M 'P -1'
_symmetry_Int_Tables_number 2
_symmetry_space_group_name_Hall '-P 1'
_cell_length_a 6.0854
_cell_length_b 6.1005
_cell_length_c 7.0703
_cell_angle_alpha 106.76
_cell_angle_beta 90.04
_cell_angle_gamma 99.78
loop_
_atom_site_label
_atom_site_type_symbol
_atom_site_fract_x
_atom_site_fract_y
_atom_site_fract_z
_atom_site_occupancy
Sm1 Sm 0.0000 0.0000 0.0000 1
Y1 Y 0.2405 0.4973 0.3783 1
Y2 Y 0.2465 0.4875 0.8670 1
Y3 Y 0.4991 0.0010 0.2586 1
Zr1 Zr 0.0000 0.0000 0.5000 1
# Energy of formation from the pure elements ... 6 kJ per mole of atoms
# Total moment ... 0.000 Bohr magnetons per cell

# 2
# SmY2Zr, relaxed, DFT PBE
data_SmY2Zr
_symmetry_space_group_name_H-M 'P 4/m m m'
_symmetry_Int_Tables_number 123
_symmetry_space_group_name_Hall '-P 4 2'
_cell_length_a 4.0331
_cell_length_b 4.0331
_cell_length_c 7.3961
_cell_angle_alpha 90.00
_cell_angle_beta 90.00
_cell_angle_gamma 90.00
loop_
_atom_site_label
_atom_site_type_symbol
_atom_site_fract_x
_atom_site_fract_y
_atom_site_fract_z
_atom_site_occupancy
Sm1 Sm 0.0000 0.0000 0.0000 1
Y1 Y 0.5000 0.5000 0.2776 1
Zr1 Zr 0.0000 0.0000 0.5000 1
# Excess energy over the best structure of this formula in the dataset ... 0.092 eV/atom
# Energy of formation from the pure elements ... 17 kJ per mole of atoms
# Total moment ... 0.002 Bohr magnetons per cell

# 3
# SmY2Zr, relaxed, DFT PBE
data_SmY2Zr
_symmetry_space_group_name_H-M 'P 4/m m m'
_symmetry_Int_Tables_number 123
_symmetry_space_group_name_Hall '-P 4 2'
_cell_length_a 4.9005
_cell_length_b 4.9005
_cell_length_c 4.9266
_cell_angle_alpha 90.00
_cell_angle_beta 90.00
_cell_angle_gamma 90.00
loop_
_atom_site_label
_atom_site_type_symbol
_atom_site_fract_x
_atom_site_fract_y
_atom_site_fract_z
_atom_site_occupancy
Sm1 Sm 0.0000 0.0000 0.0000 1
Y1 Y 0.0000 0.5000 0.5000 1
Zr1 Zr 0.5000 0.5000 0.0000 1
# Excess energy over the best structure of this formula in the dataset ... 0.023 eV/atom
# Energy of formation from the pure elements ... 11 kJ per mole of atoms
# Total moment ... 0.000 Bohr magnetons per cell

# 4
# SmY2Zr, relaxed, DFT PBE
data_SmY2Zr
_symmetry_space_group_name_H-M 'F m -3 m'
_symmetry_Int_Tables_number 225
_symmetry_space_group_name_Hall '-F 4 2 3'
_cell_length_a 7.8347
_cell_length_b 7.8347
_cell_length_c 7.8347
_cell_angle_alpha 90.00
_cell_angle_beta 90.00
_cell_angle_gamma 90.00
loop_
_atom_site_label
_atom_site_type_symbol
_atom_site_fract_x
_atom_site_fract_y
_atom_site_fract_z
_atom_site_occupancy
Sm1 Sm 0.0000 0.0000 0.0000 1
Y1 Y 0.2500 0.2500 0.2500 1
Zr1 Zr 0.0000 0.0000 0.5000 1
# Excess energy over the best structure of this formula in the dataset ... 0.136 eV/atom
# Energy of formation from the pure elements ... 22 kJ per mole of atoms
# Total moment ... 8.304 Bohr magnetons per cell

# 5
# Sm8Y6Zr, relaxed, DFT PBE
data_Sm8Y6Zr
_symmetry_space_group_name_H-M 'R -3'
_symmetry_Int_Tables_number 148
_symmetry_space_group_name_Hall '-R 3'
_cell_length_a 9.1029
_cell_length_b 9.1029
_cell_length_c 20.5577
_cell_angle_alpha 90.00
_cell_angle_beta 90.00
_cell_angle_gamma 120.00
loop_
_atom_site_label
_atom_site_type_symbol
_atom_site_fract_x
_atom_site_fract_y
_atom_site_fract_z
_atom_site_occupancy
Sm1 Sm 0.0000 0.0000 0.0767 1
Sm2 Sm 0.0838 0.5593 0.3044 1
Y1 Y 0.0586 0.2508 0.2058 1
Zr1 Zr 0.0000 0.0000 0.5000 1
# Energy of formation from the pure elements ... 12 kJ per mole of atoms
# Total moment ... 0.000 Bohr magnetons per cell

# 6
# Sm7Y12Zr, relaxed, DFT PBE
data_Sm7Y12Zr
_symmetry_space_group_name_H-M 'R -3'
_symmetry_Int_Tables_number 148
_symmetry_space_group_name_Hall '-R 3'
_cell_length_a 12.6986
_cell_length_b 12.6986
_cell_length_c 14.1593
_cell_angle_alpha 90.00
_cell_angle_beta 90.00
_cell_angle_gamma 120.00
loop_
_atom_site_label
_atom_site_type_symbol
_atom_site_fract_x
_atom_site_fract_y
_atom_site_fract_z
_atom_site_occupancy
Sm1 Sm 0.0000 0.0000 0.0000 1
Sm2 Sm 0.0581 0.8704 0.3256 1
Y1 Y 0.0187 0.5823 0.2234 1
Y2 Y 0.0646 0.2240 0.8872 1
Zr1 Zr 0.0000 0.0000 0.5000 1
# Energy of formation from the pure elements ... 25 kJ per mole of atoms
# Total moment ... 0.002 Bohr magnetons per cell

Which of these has the lowest energy of formation from the pure elements? SmY6Zr